Record 1
Dy3PuPb4 PBE relaxed; ΔE_f = -0.368 eV/atom
1.0
-3.273 -1.248 -0.368
1.158 -3.248 0.718
-3.044 2.804 17.588
Pb Pu Dy
4 1 3
Direct
0.000 0.000 0.872
0.000 0.000 0.128
0.000 0.000 0.376
0.000 0.000 0.624
0.500 0.500 0.000
0.500 0.500 0.251
0.500 0.500 0.500
0.500 0.500 0.749

Record 2
Ti2In2W PBE relaxed; ΔE_f = 0.403 eV/atom; energy above the most stable polymorph in this dataset = 0 meV/atom
1.0
-5.435 -3.476 -1.433
3.174 -2.893 -5.023
1.390 -3.326 2.794
Ti W In
4 2 4
Direct
0.350 0.850 0.000
0.850 0.650 0.000
0.650 0.150 0.000
0.150 0.350 0.000
0.000 0.000 0.000
0.500 0.500 0.000
0.164 0.664 0.500
0.664 0.836 0.500
0.836 0.336 0.500
0.336 0.164 0.500

Record 3
ZrMn3 PBE relaxed; ΔE_f = 0.166 eV/atom
1.0
-3.812 -1.803 0.792
2.043 -4.690 -0.847
1.272 -0.391 5.234
Zr Mn
2 6
Direct
0.000 0.382 0.000
0.500 0.618 0.500
0.500 0.731 0.000
0.000 0.861 0.240
0.500 0.139 0.260
0.000 0.269 0.500
0.000 0.861 0.760
0.500 0.139 0.740